Record 1
Below is a relaxed Pr4ScSb5 crystal, with properties calculated at the GGA-PBE level.

Cell: 16.1306 16.1306 16.1306 Å, 163.95 163.95 22.77°
Fractional coordinates of all 10 atoms:
Pr: 0.0986 0.0986 0.0000
Pr: 0.3021 0.3021 0.0000
Pr: 0.6979 0.6979 0.0000
Pr: 0.9014 0.9014 0.0000
Sc: 0.5000 0.5000 0.0000
Sb: 0.0000 0.0000 0.0000
Sb: 0.2001 0.2001 0.0000
Sb: 0.4054 0.4054 0.0000
Sb: 0.5946 0.5946 0.0000
Sb: 0.7999 0.7999 0.0000

Results
* ΔE_f (raw): -1.10 eV/atom
* calculated density: 6.3 g/cm³
* symmetry: I4/mmm (139)
* electronic total energy: -57.074 eV for the cell shown
* crystal system: tetragonal


Record 2
Below is a relaxed PrSm4Tm3 crystal, with properties calculated at the GGA-PBE level.

Cell: 26.0060 5.7174 3.5966 Å, 90.00 90.07 90.00°
Fractional coordinates of all 16 atoms:
Pr: 0.0000 0.0000 0.0000
Pr: 0.5000 0.5000 0.0000
Sm: 0.1057 0.0000 0.5006
Sm: 0.2248 0.0000 0.4991
Sm: 0.2752 0.5000 0.5009
Sm: 0.3943 0.5000 0.4994
Sm: 0.6057 0.5000 0.5006
Sm: 0.7248 0.5000 0.4991
Sm: 0.7752 0.0000 0.5009
Sm: 0.8943 0.0000 0.4994
Tm: 0.0000 0.5000 0.5000
Tm: 0.1533 0.5000 0.0000
Tm: 0.3467 0.0000 0.0000
Tm: 0.5000 0.0000 0.5000
Tm: 0.6533 0.0000 0.0000
Tm: 0.8467 0.5000 0.0000

Results
* energy of formation: 0.227 eV per atom
* E above lowest polymorph: 1.62 eV per formula unit
* calculated density: 7.8 g/cm³
* symmetry: C2/m (12)
* electronic total energy: -70.517 eV for the cell shown
* crystal system: monoclinic


Record 3
Below is a relaxed HfCrNi3 crystal, with properties calculated at the GGA-PBE level.

Cell: 4.2407 4.2407 4.2407 Å, 90.00 90.00 90.00°
Fractional coordinates of all 5 atoms:
Hf: 0.0000 0.0000 0.0000
Cr: 0.5000 0.5000 0.5000
Ni: 0.0000 0.5000 0.5000
Ni: 0.5000 0.0000 0.5000
Ni: 0.5000 0.5000 0.0000

Results
* energy of formation: 0.624 eV per atom
* E above lowest polymorph: 0.00 eV per formula unit
* calculated density: 8.9 g/cm³
* symmetry: Pm-3m (221)
* electronic total energy: -33.803 eV for the cell shown
* crystal system: cubic


Record 4
Below is a relaxed Er2ThIr crystal, with properties calculated at the GGA-PBE level.

Cell: 3.4669 3.4669 8.5558 Å, 90.00 90.00 90.00°
Fractional coordinates of all 4 atoms:
Er: 0.0000 0.0000 0.1898
Er: 0.0000 0.0000 0.8102
Th: 0.5000 0.5000 0.5000
Ir: 0.5000 0.5000 0.0000

Results
* energy of formation: -0.430 eV per atom
* E above lowest polymorph: 0.59 eV per formula unit
* calculated density: 12.3 g/cm³
* symmetry: P4/mmm (123)
* electronic total energy: -27.127 eV for the cell shown
* crystal system: tetragonal


Record 5
Below is a relaxed Zr2Ru crystal, with properties calculated at the GGA-PBE level.

Cell: 3.1131 3.1131 25.8487 Å, 90.00 90.00 90.00°
Fractional coordinates of all 12 atoms:
Zr: 0.0000 0.2500 0.3083
Zr: 0.0000 0.2500 0.4417
Zr: 0.0000 0.7500 0.5583
Zr: 0.0000 0.7500 0.6917
Zr: 0.5000 0.2500 0.0583
Zr: 0.5000 0.2500 0.1917
Zr: 0.5000 0.7500 0.8083
Zr: 0.5000 0.7500 0.9417
Ru: 0.0000 0.2500 0.8750
Ru: 0.0000 0.7500 0.1250
Ru: 0.5000 0.2500 0.6250
Ru: 0.5000 0.7500 0.3750

Results
* energy of formation: -0.143 eV per atom
* calculated density: 7.5 g/cm³
* symmetry: I4_1/amd (141)
* electronic total energy: -107.204 eV for the cell shown
* crystal system: tetragonal


Record 6
Below is a relaxed B5C7 crystal, with properties calculated at the GGA-PBE level.

Cell: 4.7046 2.5455 6.5443 Å, 90.00 98.22 90.00°
Fractional coordinates of all 12 atoms:
B: 0.0000 0.0000 0.0000
B: 0.0216 0.0000 0.7232
B: 0.2114 0.5000 0.5871
B: 0.2969 0.0000 0.2561
B: 0.3377 0.0000 0.9636
C: 0.1297 0.5000 0.3559
C: 0.5305 0.5000 0.9136
C: 0.5449 0.5000 0.6810
C: 0.6545 0.0000 0.3573
C: 0.6813 0.0000 0.6025
C: 0.8063 0.5000 0.0479
C: 0.8059 0.5000 0.2829

Results
* energy of formation: 0.352 eV per atom
* E above lowest polymorph: 1.13 eV per formula unit
* calculated density: 3.0 g/cm³
* symmetry: Pm (6)
* electronic total energy: -93.732 eV for the cell shown
* crystal system: monoclinic